A geometry-optimized K2AgSn3Pt4 structure. Source: Alexandria, functional PBE.

```
K2AgSn3Pt4
1.0
-2.630 1.211 3.703
-3.173 -3.258 -1.189
5.168 -7.236 6.036
Pt Sn K Ag
4 3 2 1
direct
0.000 0.000 0.000
0.500 0.500 0.000
0.000 0.500 0.368
0.500 0.000 0.632
0.000 0.500 0.123
0.000 0.000 0.500
0.500 0.000 0.877
0.500 0.000 0.252
0.000 0.500 0.748
0.500 0.500 0.500
```

For the formation energy, the calculation gives -0.37 eV per atom.

A geometry-optimized BiBPt2Au structure. Source: Alexandria, functional PBE.

```
BiBPt2Au
1.0
-1.803 -1.966 -3.442
3.694 0.539 -2.242
1.507 -4.033 1.514
Pt B Bi Au
2 1 1 1
direct
0.000 0.500 0.000
0.500 0.000 0.000
0.000 0.000 0.000
0.500 0.500 0.500
0.000 0.000 0.500
```

For the formation energy, the calculation gives 0.01 eV per atom.

A geometry-optimized Pr3AgS structure. Source: Alexandria, functional PBE.

```
Pr3AgS
1.0
-1.055 2.106 -3.250
-4.752 -7.315 -3.197
-12.883 5.096 7.486
Pr S Ag
12 4 4
direct
0.750 0.660 0.459
0.250 0.340 0.541
0.750 0.825 0.204
0.750 0.325 0.296
0.750 0.160 0.041
0.250 0.675 0.704
0.750 0.013 0.606
0.250 0.840 0.959
0.250 0.987 0.394
0.250 0.487 0.106
0.750 0.513 0.894
0.250 0.175 0.796
0.250 0.320 0.953
0.750 0.180 0.453
0.250 0.820 0.547
0.750 0.680 0.047
0.250 0.107 0.193
0.750 0.893 0.807
0.250 0.607 0.307
0.750 0.393 0.693
```

The value obtained for the formation energy from raw total energies is -0.832 eV per atom.

A geometry-optimized Ca2PmBr structure. Source: Alexandria, functional PBE.

```
Ca2PmBr
1.0
3.658 0.000 0.000
0.000 3.658 0.000
0.000 0.000 10.007
Ca Br Pm
2 1 1
direct
0.000 0.000 0.776
0.000 0.000 0.224
0.500 0.500 0.000
0.500 0.500 0.500
```

The value obtained for the formation energy from raw total energies is -0.581 eV per atom. Its excess energy over the best structure of this formula in the dataset is 0.0903 eV/atom.

A geometry-optimized ScSb3Mo structure. Source: Alexandria, functional PBE.

```
ScSb3Mo
1.0
-3.525 3.185 2.219
-2.715 -4.166 1.665
2.775 -0.029 4.449
Sb Mo Sc
3 1 1
direct
0.500 0.000 0.000
0.000 0.500 0.000
0.000 0.000 0.500
0.000 0.000 0.000
0.500 0.500 0.500
```

The value obtained for the formation energy from raw total energies is 0.495 eV per atom. Its excess energy over the best structure of this formula in the dataset is 0.0000 eV/atom.

A geometry-optimized Er7PdSe5 structure. Source: Alexandria, functional PBE.

```
Er7PdSe5
1.0
-1.461 -3.229 -1.718
5.894 1.481 -3.280
12.204 -13.861 15.673
Er Se Pd
14 10 2
direct
0.639 0.278 0.039
0.202 0.404 0.180
0.092 0.183 0.882
0.799 0.597 0.680
0.639 0.277 0.462
0.460 0.920 0.250
0.910 0.820 0.118
0.091 0.181 0.618
0.909 0.818 0.382
0.362 0.724 0.962
0.201 0.402 0.320
0.361 0.723 0.539
0.541 0.081 0.750
0.799 0.599 0.820
0.720 0.441 0.571
0.000 0.000 0.500
0.279 0.559 0.430
0.445 0.889 0.644
0.556 0.112 0.144
0.001 0.001 0.000
0.555 0.111 0.356
0.280 0.560 0.071
0.445 0.890 0.856
0.721 0.442 0.930
0.805 0.609 0.250
0.196 0.392 0.750
```

The value obtained for the formation energy from raw total energies is -1.459 eV per atom.